A relaxed PmErTlHg crystal, computed with PBE-GGA.

Calculated volume = 109.3 Å³/cell
ρ = 10.898 g/cm3
ΔE_f = -9.4 kcal/mol of atoms
Total magnetization = 0.1488 μB/atom
Space group = F-43m, No. 216
DOS(E_F) = 1.0420 states/eV per atom
Final energy = -3.4039 eV/atom

Unit cell a=5.3665 b=5.3665 c=5.3665 alpha=60.00 beta=60.00 gamma=60.00
With the nearest neighbours (Å) after each atom.
Sites, in units of the cell vectors:
Pm 0.0000 0.0000 0.0000  4 Hg 3.29, 4 Tl 3.29
Er 0.5000 0.5000 0.5000  4 Hg 3.29, 4 Tl 3.29
Tl 0.2500 0.2500 0.2500  4 Er 3.29, 4 Pm 3.29
Hg 0.7500 0.7500 0.7500  4 Er 3.29, 4 Pm 3.29